(1)
10
Lattice="-0.7945 -0.4082 -6.9365 -3.5707 -5.9653 0.7600 -2.6225 1.5960 0.2065" Properties=species:S:1:pos:R:3 comment="PBE MgNi2As2, optimized geometry" e_form_ev_per_atom=-0.16 dos_ef_per_ev_cell=7.0 final_energy_ev_per_atom=-4.65 spacegroup="No. 127" pbc="T T T"
Ni -3.4112 -5.3565 -1.9204
As -3.8256 -3.2490 -0.5482
Ni -2.9340 -4.0996 -5.5748
As -3.1621 -1.5285 -5.4217
Ni -1.4313 -2.2739 -0.6016
Mg 0.0000 0.0000 0.0000
Mg -2.1826 -3.1867 -3.0882
As -4.8156 -4.4433 -3.8903
Ni -0.9540 -1.0170 -4.2560
As -2.1721 -0.3341 -2.0797

(2)
64
Lattice="11.2789 -0.0008 0.0012 -4.6872 10.2588 -0.0012 4.6872 4.2350 9.3439" Properties=species:S:1:pos:R:3 comment="PBE Nd4Si2Se3O7, optimized geometry" formation_energy_uncorrected_ev_per_atom=-2.788 dos_ef_per_ev_cell=0.0 final_energy_ev_per_atom=-7.48 spacegroup="No. 141" pbc="T T T"
Si 8.5075 9.0270 7.8926
O 4.2534 7.7930 7.4247
Si 2.8680 7.2018 6.7153
O 7.3454 8.0561 7.2467
Nd 1.9660 13.2305 7.4845
O 7.8622 13.4092 7.4247
Se 1.8570 2.4302 2.5327
Si 12.5116 4.6561 6.7165
O 9.8928 8.1368 7.6471
O 0.1499 8.8682 1.8018
Nd 5.6394 8.3727 5.3979
O -2.4875 8.8453 2.1917
O 2.3711 10.9298 6.5605
Se 2.8092 10.5717 1.1675
Se 9.4219 3.3094 1.1687
Se 0.0000 0.0000 0.0000
Se 6.1261 5.4273 5.8401
O 7.0255 9.9793 4.0331
O 3.9335 9.9258 4.3461
O 1.3861 10.3238 4.2543
Nd 7.9109 11.9076 5.3979
Si 2.7714 10.9150 4.9637
O 9.0561 4.7069 4.2555
Nd 9.3129 12.2790 8.9606
O 1.7060 8.1910 7.3329
Nd 11.5237 7.0888 9.0554
Nd 0.0000 4.7496 3.0616
Nd 5.3947 11.0272 2.6248
O 3.4167 12.2983 9.1481
Si -1.2327 8.0390 1.4685
Se -0.4866 12.6896 5.8389
O 8.9142 3.5591 6.5617
O 0.8023 5.0137 0.5333
Se 11.7655 10.5569 9.1475
O 10.4766 2.5552 4.3473
O 9.5729 10.0600 4.4335
Nd 5.8842 6.9431 8.9606
Nd 3.6735 4.8864 4.1945
Se 0.0000 7.2469 4.6714
O 3.2683 7.1871 5.1185
Nd 2.2715 8.2845 3.0616
Si 2.1849 5.8429 0.8666
Nd 0.0000 9.7442 6.2811
O 8.9078 10.4874 7.2467
O 3.4397 5.0366 0.1434
Si 8.4109 9.0891 3.7875
O 2.3647 7.4450 0.5333
O 7.8392 2.2096 4.5291
O 8.0106 7.6287 4.4335
Se 5.1528 7.5592 2.5327
O 2.2228 5.8186 2.5309
Si 9.0940 3.2011 4.9649
O 12.6913 4.2981 5.1197
Nd 7.6054 5.8371 2.7196
Se 8.4697 5.4278 9.1475
Nd 5.6394 13.3672 8.6174
Nd 9.0074 6.2085 6.2823
Se 5.6394 10.8700 7.0076
O 2.4875 5.6485 7.1511
Nd 3.3680 9.8323 8.6174
Se 5.6394 3.6231 2.3363
O 11.1290 5.3021 7.3341
O -1.4124 6.4369 1.8018
Nd -0.2448 11.1737 2.7184

(3)
5
Lattice="4.9741 0.0000 0.0000 0.0000 3.9238 0.0000 0.0000 0.0000 4.9741" Properties=species:S:1:pos:R:3 comment="PBE Li2TiZnF, optimized geometry" formation_energy_uncorrected_ev_per_atom=0.200 dos_ef_per_ev_cell=6.9 final_energy_ev_per_atom=-2.77 spacegroup="No. 123" pbc="T T T"
Zn 0.0000 0.0000 0.0000
Li 0.0000 0.0000 2.4870
Li 2.4870 0.0000 0.0000
Ti 2.4870 1.9619 2.4870
F 0.0000 1.9619 0.0000

(4)
4
Lattice="4.9568 0.0000 0.0000 2.4784 4.2927 0.0000 2.4784 1.4309 4.0472" Properties=species:S:1:pos:R:3 comment="PBE TbScGeAu, optimized geometry" e_form_ev_per_atom=-0.72 dos_ef_per_ev_cell=3.8 final_energy_ev_per_atom=-5.44 spacegroup="No. 216" pbc="T T T"
Tb 0.0000 0.0000 0.0000
Sc 4.9568 2.8618 2.0236
Au 7.4352 4.2927 3.0354
Ge 2.4784 1.4309 1.0118

(5)
6
Lattice="4.9249 0.0000 0.0000 2.4625 4.2651 0.0000 2.4625 1.4217 4.0212" Properties=species:S:1:pos:R:3 comment="PBE GdCrFe4, optimized geometry" e_form_ev_per_atom=0.25 dos_ef_per_ev_cell=10.9 final_energy_ev_per_atom=-9.35 spacegroup="No. 216" pbc="T T T"
Fe 6.1429 3.5466 2.5078
Fe 4.9249 1.4371 2.5078
Gd 0.0000 0.0000 0.0000
Fe 3.7070 3.5466 2.5078
Cr 2.4625 1.4217 1.0053
Fe 4.9249 2.8434 0.5189

(6)
12
Lattice="-7.2151 -1.2881 2.4179 -3.3851 -3.4501 -5.3362 0.1019 -7.2310 -0.2465" Properties=species:S:1:pos:R:3 comment="PBE PaTl5S6, optimized geometry" formation_energy_uncorrected_ev_per_atom=-0.659 dos_ef_per_ev_cell=7.2 final_energy_ev_per_atom=-4.50 spacegroup="No. 12" pbc="T T T"
Pa 0.0000 0.0000 0.0000
Tl -1.0980 -3.5494 -1.8657
S -8.2491 -3.6784 -2.2507
S -4.5654 -8.5309 -4.6336
Tl -5.3001 -2.3691 -1.4591
Tl -2.1852 -7.1317 -3.7170
S -6.9096 -7.3597 -0.2333
Tl -6.3804 -5.9725 -3.3011
S -2.3510 -1.0598 -0.6676
Tl -4.1178 -5.9967 0.1363
S -3.5886 -4.6095 -2.9315
S -5.9329 -3.4383 1.4688

(7)
5
Lattice="-4.3522 -2.3039 3.1533 -1.9897 -2.7547 -4.7588 3.5581 -4.8863 1.3408" Properties=species:S:1:pos:R:3 comment="PBE SbTeI2Cl, optimized geometry" formation_energy_uncorrected_ev_per_atom=0.360 dos_ef_per_ev_cell=4.2 e_above_lowest_polymorph_ev_per_atom=0.115 final_energy_ev_per_atom=-2.08 spacegroup="No. 123" pbc="T T T"
I -0.9949 -1.3773 -2.3794
Te 0.0000 0.0000 0.0000
Cl -1.3919 -4.9725 -0.1323
I -2.1761 -1.1520 1.5767
Sb 1.7791 -2.4432 0.6704

(8)
4
Lattice="5.4047 0.0050 0.0004 2.3366 4.8735 -0.0004 -3.3898 -3.2022 2.7323" Properties=species:S:1:pos:R:3 comment="PBE ScCdRe2, optimized geometry" e_form_ev_per_atom=0.23 dos_ef_per_ev_cell=3.0 final_energy_ev_per_atom=-7.81 spacegroup="No. 44" pbc="T T T"
Sc 3.9477 2.4878 0.0000
Re 3.1605 -0.2417 1.3664
Cd 1.2971 1.9850 1.3660
Re 7.5581 4.7631 0.0000

What did the third record say?
5
Lattice="4.9741 0.0000 0.0000 0.0000 3.9238 0.0000 0.0000 0.0000 4.9741" Properties=species:S:1:pos:R:3 comment="PBE Li2TiZnF, optimized geometry" formation_energy_uncorrected_ev_per_atom=0.200 dos_ef_per_ev_cell=6.9 final_energy_ev_per_atom=-2.77 spacegroup="No. 123" pbc="T T T"
Zn 0.0000 0.0000 0.0000
Li 0.0000 0.0000 2.4870
Li 2.4870 0.0000 0.0000
Ti 2.4870 1.9619 2.4870
F 0.0000 1.9619 0.0000